Entry from Alexandria: an optimized crystal structure of CoRhO2 (PBE with a Hubbard U).

Summary:
- M_tot (μB per formula unit) = 2.00
- E_tot (eV/atom) = -6.011

a = 4.876 Å, b = 4.876 Å, c = 8.375 Å
α = 90.00°, β = 90.00°, γ = 90.00°
Space group I-42d (No. 122)
One atom of each set of equivalent atoms:
Co  0.000  0.000  0.000 [4 per cell]
Rh  0.000  0.000  0.500 [4 per cell]
O  0.224  0.250  0.125 [8 per cell]